1.
The following is a PBE calculation of a relaxed Bi2IrPdO8 crystal, from Alexandria via LeMat-Bulk.

```
data_Bi2IrPdO8
_chemical_formula_sum 'Bi2 Ir1 Pd1 O8'
_symmetry_space_group_name_H-M 'P 1 2/m 1'
_symmetry_Int_Tables_number 10
_symmetry_space_group_name_Hall '-P 2y'
_cell_length_a 4.8898
_cell_length_b 6.7201
_cell_length_c 4.9810
_cell_angle_alpha 90.00
_cell_angle_beta 90.90
_cell_angle_gamma 90.00
loop_
_atom_site_label
_atom_site_fract_x
_atom_site_fract_y
_atom_site_fract_z
Bi1 0.0000 0.2482 0.0000
Ir1 0.5000 0.5000 0.5000
Pd1 0.5000 0.0000 0.5000
O1 0.2296 0.0000 0.1850
O2 0.2656 0.5000 0.1913
O3 0.2999 0.2603 0.6437
```

Output
total moment	0.07	μB per atom
E	-5.87	eV per atom
uncorrected formation energy	-8.92	eV per formula unit
ρ	8.6	g cm⁻³

=====

2.
The following is a PBE calculation of a relaxed Pm2BiIrO8 crystal, from Alexandria via LeMat-Bulk.

```
data_Pm2BiIrO8
_chemical_formula_sum 'Pm4 Bi2 Ir2 O16'
_symmetry_space_group_name_H-M 'C 1 2/m 1'
_symmetry_Int_Tables_number 12
_symmetry_space_group_name_Hall '-C 2y'
_cell_length_a 7.1871
_cell_length_b 7.3584
_cell_length_c 6.8581
_cell_angle_alpha 90.00
_cell_angle_beta 90.01
_cell_angle_gamma 90.00
loop_
_atom_site_label
_atom_site_fract_x
_atom_site_fract_y
_atom_site_fract_z
Pm1 0.0009 0.0000 0.2557
Bi1 0.0000 0.5000 0.0000
Ir1 0.0000 0.5000 0.5000
O1 0.0006 0.3236 0.7207
O2 0.1989 0.0000 0.9993
O3 0.2328 0.0000 0.5009
```

Output
total moment	0.16	μB per atom
E	-7.01	eV per atom
uncorrected formation energy	-22.20	eV per formula unit
ρ	7.5	g cm⁻³

=====

3.
The following is a PBE calculation of a relaxed PrBiIrO6 crystal, from Alexandria via LeMat-Bulk.

```
data_PrBiIrO6
_chemical_formula_sum 'Pr2 Bi2 Ir2 O12'
_symmetry_space_group_name_H-M 'P -3 1 c'
_symmetry_Int_Tables_number 163
_symmetry_space_group_name_Hall '-P 3 2c'
_cell_length_a 5.7551
_cell_length_b 5.7551
_cell_length_c 9.2618
_cell_angle_alpha 90.00
_cell_angle_beta 90.00
_cell_angle_gamma 120.00
loop_
_atom_site_label
_atom_site_fract_x
_atom_site_fract_y
_atom_site_fract_z
Pr1 0.3333 0.6667 0.2500
Bi1 0.0000 0.0000 0.0000
Ir1 0.3333 0.6667 0.7500
O1 0.0536 0.3811 0.6303
```

Output
total moment	0.24	μB per atom
E	-6.72	eV per atom
uncorrected formation energy	-13.20	eV per formula unit
ρ	8.0	g cm⁻³

=====

4.
The following is a PBE calculation of a relaxed PuBiIrO6 crystal, from Alexandria via LeMat-Bulk.

```
data_PuBiIrO6
_chemical_formula_sum 'Pu2 Bi2 Ir2 O12'
_symmetry_space_group_name_H-M 'P -3 1 c'
_symmetry_Int_Tables_number 163
_symmetry_space_group_name_Hall '-P 3 2c'
_cell_length_a 5.3116
_cell_length_b 5.3116
_cell_length_c 10.5513
_cell_angle_alpha 90.00
_cell_angle_beta 90.00
_cell_angle_gamma 120.00
loop_
_atom_site_label
_atom_site_fract_x
_atom_site_fract_y
_atom_site_fract_z
Pu1 0.3333 0.6667 0.2500
Bi1 0.0000 0.0000 0.0000
Ir1 0.3333 0.6667 0.7500
O1 0.0149 0.3594 0.6388
```

Output
total moment	0.22	μB per atom
E	-7.98	eV per atom
uncorrected formation energy	-15.02	eV per formula unit
ρ	9.5	g cm⁻³

=====

5.
The following is a PBE calculation of a relaxed RbBi2IrO8 crystal, from Alexandria via LeMat-Bulk.

```
data_RbBi2IrO8
_chemical_formula_sum 'Rb1 Bi2 Ir1 O8'
_symmetry_space_group_name_H-M 'P -1'
_symmetry_Int_Tables_number 2
_symmetry_space_group_name_Hall '-P 1'
_cell_length_a 4.2089
_cell_length_b 5.7048
_cell_length_c 7.5089
_cell_angle_alpha 89.75
_cell_angle_beta 75.51
_cell_angle_gamma 82.61
loop_
_atom_site_label
_atom_site_fract_x
_atom_site_fract_y
_atom_site_fract_z
Rb1 0.0000 0.0000 0.0000
Bi1 0.3786 0.5271 0.2919
Ir1 0.5000 0.0000 0.5000
O1 0.1722 0.4813 0.0024
O2 0.2177 0.3230 0.5735
O3 0.2327 0.7998 0.6543
O4 0.3381 0.9244 0.2930
```

Output
total moment	0.00	μB per atom
E	-5.62	eV per atom
uncorrected formation energy	-10.15	eV per formula unit
ρ	7.9	g cm⁻³

=====

6.
The following is a PBE calculation of a relaxed BiSbIrO2 crystal, from Alexandria via LeMat-Bulk.

```
data_BiSbIrO2
_chemical_formula_sum 'Bi1 Sb1 Ir1 O2'
_symmetry_space_group_name_H-M 'P 4/m m m'
_symmetry_Int_Tables_number 123
_symmetry_space_group_name_Hall '-P 4 2'
_cell_length_a 4.0014
_cell_length_b 4.0014
_cell_length_c 6.2229
_cell_angle_alpha 90.00
_cell_angle_beta 90.00
_cell_angle_gamma 90.00
loop_
_atom_site_label
_atom_site_fract_x
_atom_site_fract_y
_atom_site_fract_z
Bi1 0.0000 0.0000 0.0000
Sb1 0.5000 0.5000 0.0000
Ir1 0.0000 0.0000 0.5000
O1 0.0000 0.5000 0.5000
```

Output
total moment	0.04	μB per atom
E	-5.22	eV per atom
uncorrected formation energy	0.69	eV per formula unit
ρ	9.2	g cm⁻³